VASP calculation (PBE) on YMgCl2 after structural relaxation.

The structure in extended XYZ format:
```
8
Lattice="4.6276 0.0000 0.0000 0.0000 4.6276 0.0000 0.0000 0.0000 8.5086" Properties=species:S:1:pos:R:3 pbc="T T T"
Y 0.0000 0.0000 0.0000
Y 2.3138 2.3138 4.2543
Mg 0.0000 0.0000 4.2543
Mg 2.3138 2.3138 0.0000
Cl 0.0000 2.3138 2.1272
Cl 0.0000 2.3138 6.3815
Cl 2.3138 0.0000 2.1272
Cl 2.3138 0.0000 6.3815
```

Summary:
Density of states at the Fermi level in states/eV per atom: 0.63
Energy above the most stable polymorph in this dataset in meV/atom: 383
Space group: No. 139
ΔE_f (raw) in eV per atom: -0.872

=====

VASP calculation (PBE) on CrNi2Pt after structural relaxation.

The structure in extended XYZ format:
```
4
Lattice="2.5729 0.0000 0.0000 0.0000 4.2099 0.0000 -0.3839 0.0000 4.6300" Properties=species:S:1:pos:R:3 pbc="T T T"
Cr 0.0000 0.0000 0.0000
Ni 0.2367 2.1049 3.5551
Ni 1.9523 2.1049 1.0749
Pt 1.0945 0.0000 2.3150
```

Summary:
Density of states at the Fermi level in states/eV per atom: 1.66
Space group: No. 10
ΔE_f in eV/atom: 0.086

=====

VASP calculation (PBE) on Dy2Y2Co2S after structural relaxation.

The structure in extended XYZ format:
```
14
Lattice="13.0649 0.0000 0.0000 0.0000 3.7430 0.0000 -3.6894 0.0000 6.8547" Properties=species:S:1:pos:R:3 pbc="T T T"
Dy 1.8666 0.0000 2.0719
Dy 0.9764 1.8715 4.7828
Dy 8.3991 1.8715 2.0719
Dy 7.5089 0.0000 4.7828
Y -2.4838 1.8715 5.1325
Y 5.3268 0.0000 1.7222
Y 4.0487 0.0000 5.1325
Y 11.8592 1.8715 1.7222
Co -0.7208 0.0000 3.7935
Co 3.5638 1.8715 3.0612
Co 5.8117 1.8715 3.7935
Co 10.0963 0.0000 3.0612
S 0.0000 0.0000 0.0000
S 6.5325 1.8715 0.0000
```

Summary:
Density of states at the Fermi level in states/eV per atom: 0.68
Space group: No. 12
ΔE_f (raw) in eV per atom: -0.612

=====

VASP calculation (PBE) on LaTiAs2S after structural relaxation.

The structure in extended XYZ format:
```
5
Lattice="5.5068 0.0000 0.0000 0.0000 5.5068 0.0000 0.0000 0.0000 5.2579" Properties=species:S:1:pos:R:3 pbc="T T T"
La 0.0000 0.0000 0.0000
Ti 0.0000 0.0000 2.6290
As 0.0000 2.7534 0.0000
As 2.7534 0.0000 0.0000
S 2.7534 2.7534 2.6290
```

Summary:
Density of states at the Fermi level in states/eV per atom: 1.23
Space group: No. 123
ΔE_f (raw) in eV per atom: 1.304

=====

Number 1: total DFT energy (no corrections) -0.140 hartree per atom. Number 2: total DFT energy (no corrections) -0.247 hartree per atom. Number 3: total DFT energy (no corrections) -0.235 hartree per atom. Number 4: total DFT energy (no corrections) -0.145 hartree per atom.